Entry 1:
Here is crystalline GaRe at its relaxed geometry from OQMD. Energies are from PBE-GGA.

Theoretical density ... 9.12 g cm⁻³
V ... 186 Å³ per cell
Total energy ... -46.4 eV per cell

a = 5.7122 Å, b = 5.7122 Å, c = 5.7122 Å
α = 90.00°, β = 90.00°, γ = 90.00°
Space group F-43m (No. 216)
Unique sites:
Ga1 0.0000 0.0000 0.0000 x4
Re1 0.2500 0.2500 0.7500 x4


Entry 2:
Here is crystalline Ta3NbAs2C2 at its relaxed geometry from OQMD. Energies are from PBE-GGA.

Theoretical density ... 11.65 g cm⁻³
V ... 115 Å³ per cell
Total energy ... -78.2 eV per cell

a = 3.3377 Å, b = 3.3377 Å, c = 11.9657 Å
α = 90.00°, β = 90.00°, γ = 120.00°
Space group P3m1 (No. 156)
Unique sites:
Ta1 0.0000 0.0000 0.0000 x1
Ta2 0.0000 0.0000 0.3120 x1
Ta3 0.3333 0.6667 0.8123 x1
Nb1 0.3333 0.6667 0.5005 x1
As1 0.0000 0.0000 0.6572 x1
As2 0.3333 0.6667 0.1559 x1
C1 0.6667 0.3333 0.4036 x1
C2 0.6667 0.3333 0.9061 x1


Entry 3:
Here is crystalline La2YIn3AgPd2 at its relaxed geometry from OQMD. Energies are from PBE-GGA.

Theoretical density ... 7.93 g cm⁻³
V ... 432 Å³ per cell
Total energy ... -87.9 eV per cell

a = 4.0156 Å, b = 13.6688 Å, c = 7.8716 Å
α = 90.00°, β = 90.00°, γ = 90.00°
Space group Amm2 (No. 38)
Unique sites:
La1 0.0000 0.2068 0.0000 x4
Y1 0.0000 0.0000 0.6164 x2
In1 0.5000 0.0000 0.9391 x2
In2 0.5000 0.1269 0.3407 x4
Ag1 0.0000 0.0000 0.2070 x2
Pd1 0.5000 0.1645 0.7059 x4


Q: Which value of theoretical density does entry 3 give?
A: 7.93 g cm⁻³


Q: Number 2 is which compound?
A: Ta3NbAs2C2


Q: What is the V in the first record?
A: 186 Å³ per cell


Q: Which of these has the lowest total energy?
A: La2YIn3AgPd2